This record from Alexandria via LeMat-Bulk describes a relaxed Sc2Cd2Bi crystal. The functional is PBE.

The offset from the most stable computed form comes out at 0.000 eV/atom. The theoretical density is 7.13 Mg/m³. Its final energy is -3.8612 eV per atom. As for the crystal system: tetragonal. As for the volume: 244 Å³ per cell. The calculation puts the density of states at the Fermi level at 4.4 states/eV/f.u. The formation energy is -186 meV/atom.

The structure belongs to space group P4/mbm (No. 127); the cell edges are 8.295, 8.295 and 3.546 Å and the angles 90.00°, 90.00° and 90.00°. The asymmetric unit holds Sc at (0.170, 0.330, 0.000), Cd at (0.125, 0.625, 0.500) and Bi at (0.000, 0.000, 0.500).

This record from Alexandria via LeMat-Bulk describes a relaxed AcSbPd6Au crystal. The functional is PBE.

The theoretical density is 10.12 Mg/m³. Its final energy is -4.9166 eV per atom. As for the crystal system: orthorhombic. As for the volume: 777 Å³ per cell. As for the raw formation energy: -153 kJ/mol of formula units. The calculation puts the density of states at the Fermi level at 3.3 states/eV/f.u.

The structure belongs to space group Imma (No. 74); the cell edges are 7.029, 9.819 and 11.260 Å and the angles 90.00°, 90.00° and 90.00°. The asymmetric unit holds Ac at (0.000, 0.250, 0.174), Sb at (0.000, 0.000, 0.500), Pd at (0.000, 0.250, 0.433), Pd at (0.000, 0.250, 0.930), Pd at (0.199, 0.010, 0.871) and Au at (0.250, 0.250, 0.750).

This record from Alexandria via LeMat-Bulk describes a relaxed Ti2V2Se7 crystal. The functional is PBE.

The theoretical density is 4.50 Mg/m³. Its final energy is -6.0056 eV per atom. As for the crystal system: monoclinic. As for the volume: 554 Å³ per cell. As for the raw formation energy: -737 kJ/mol of formula units. The calculation puts the density of states at the Fermi level at 5.8 states/eV/f.u.

The structure belongs to space group C2/m (No. 12); the cell edges are 7.529, 11.320 and 6.554 Å and the angles 90.00°, 97.62° and 90.00°. The asymmetric unit holds Ti at (0.000, 0.179, 0.000), V at (0.228, 0.000, 0.619), Se at (0.000, 0.500, 0.500), Se at (0.084, 0.000, 0.248) and Se at (0.239, 0.305, 0.220).

This record from Alexandria via LeMat-Bulk describes a relaxed Rb3Hg2Cl7 crystal. The functional is PBE.

The offset from the most stable computed form comes out at 0.022 eV/atom. The theoretical density is 3.87 Mg/m³. Its final energy is -2.6200 eV per atom. As for the crystal system: orthorhombic. As for the volume: 777 Å³ per cell. As for the raw formation energy: -1448 kJ/mol of formula units.

The structure belongs to space group Cmmm (No. 65); the cell edges are 5.509, 26.405 and 5.338 Å and the angles 90.00°, 90.00° and 90.00°. The asymmetric unit holds Rb at (0.000, 0.000, 0.000), Rb at (0.000, 0.177, 0.000), Hg at (0.000, 0.398, 0.500), Cl at (0.000, 0.096, 0.500), Cl at (0.000, 0.300, 0.500), Cl at (0.000, 0.403, 0.000) and Cl at (0.000, 0.500, 0.500).

This record from Alexandria via LeMat-Bulk describes a relaxed Ba5Hg2Bi5 crystal. The functional is PBE.

The theoretical density is 7.44 Mg/m³. Its final energy is -3.2071 eV per atom. As for the crystal system: monoclinic. As for the volume: 952 Å³ per cell. The calculation puts the density of states at the Fermi level at 4.2 states/eV/f.u. The formation energy is -739 meV/atom.

The structure belongs to space group C2/m (No. 12); the cell edges are 18.074, 5.000 and 13.822 Å and the angles 90.00°, 130.37° and 90.00°. The asymmetric unit holds Ba at (0.000, 0.000, 0.000), Ba at (0.095, 0.000, 0.402), Ba at (0.190, 0.000, 0.815), Hg at (0.139, 0.500, 0.240), Bi at (0.000, 0.500, 0.500), Bi at (0.074, 0.500, 0.878) and Bi at (0.235, 0.500, 0.661).

This record from Alexandria via LeMat-Bulk describes a relaxed Tb3Tl4SbSe8 crystal. The functional is PBE.

The theoretical density is 7.15 Mg/m³. Its final energy is -4.5928 eV per atom. As for the crystal system: monoclinic. As for the volume: 951 Å³ per cell. As for the raw formation energy: -1749 kJ/mol of formula units.

The structure belongs to space group C2/m (No. 12); the cell edges are 14.591, 8.425 and 9.141 Å and the angles 90.00°, 122.15° and 90.00°. The asymmetric unit holds Tb at (0.000, 0.000, 0.000), Tb at (0.250, 0.250, 0.000), Tl at (0.000, 0.000, 0.500), Tl at (0.000, 0.500, 0.500), Tl at (0.250, 0.250, 0.500), Sb at (0.000, 0.500, 0.000), Se at (0.015, 0.250, 0.795), Se at (0.236, 0.000, 0.205) and Se at (0.236, 0.500, 0.205).